LiBN | PBE | optimized geometry

* size of the total moment: 0.000 μB per atom
* V: 28.23 Å³/f.u.
* crystal system: monoclinic
* polymorph energy (0 for the lowest one): 0.1061 eV per atom
* Fermi-level density of states: 0.01 states/eV/f.u.
* formation energy from raw total energies: -0.583 eV/atom

Unit cell a=3.6540 b=3.6543 c=5.2211 alpha=75.17 beta=75.17 gamma=57.88
Atoms (fractional coordinates):
Li 0.8652 0.9180 0.5624
Li 0.2620 0.3146 0.2769
B 0.8073 0.3728 0.9196
B 0.3198 0.8603 0.9196
N 0.9645 0.0175 0.1500
N 0.1627 0.2157 0.6892